Density functional theory data (GGA-PBEsol) for crystalline Si9Ni25 at its relaxed geometry.

The formation energy from raw total energies is -526 meV/atom. The value obtained for the calculated volume is 360 Å³/cell. As for the density of states at the Fermi level: 22.02 states/eV per cell. The value obtained for the total energy is -6.575 eV/atom. As for the symmetry: P-3, No. 147.

a = 6.609 Å, b = 6.609 Å, c = 9.504 Å
α = 90.00°, β = 90.00°, γ = 120.00°
Atoms (fractional coordinates):
Si 0.663 0.671 0.322
Si 0.333 0.667 0.026
Si 0.337 0.329 0.678
Si 0.008 0.337 0.322
Si 0.000 0.000 0.000
Si 0.671 0.008 0.678
Si 0.667 0.333 0.974
Si 0.992 0.663 0.678
Si 0.329 0.992 0.322
Ni 0.602 0.930 0.188
Ni 0.934 0.620 0.433
Ni 0.000 0.000 0.500
Ni 0.299 0.343 0.925
Ni 0.000 0.000 0.244
Ni 0.045 0.701 0.925
Ni 0.620 0.686 0.567
Ni 0.000 0.000 0.756
Ni 0.314 0.934 0.567
Ni 0.930 0.328 0.812
Ni 0.333 0.667 0.764
Ni 0.686 0.066 0.433
Ni 0.398 0.070 0.812
Ni 0.672 0.602 0.812
Ni 0.667 0.333 0.236
Ni 0.343 0.045 0.075
Ni 0.380 0.314 0.433
Ni 0.701 0.657 0.075
Ni 0.066 0.380 0.567
Ni 0.667 0.333 0.610
Ni 0.328 0.398 0.188
Ni 0.955 0.299 0.075
Ni 0.333 0.667 0.390
Ni 0.070 0.672 0.188
Ni 0.657 0.955 0.925

Density functional theory data (GGA-PBEsol) for crystalline YAgHg2 at its relaxed geometry.

The value obtained for the calculated volume is 84 Å³/cell. The formation enthalpy at 0 K is -0.44 eV per atom. As for the density of states at the Fermi level: 1.69 states/eV per cell. The value obtained for the total energy is -3.259 eV/atom. As for the symmetry: Fm-3m, No. 225.

a = 4.910 Å, b = 4.910 Å, c = 4.910 Å
α = 60.00°, β = 60.00°, γ = 60.00°
Atoms (fractional coordinates):
Y 0.500 0.500 0.500
Hg 0.750 0.750 0.750
Hg 0.250 0.250 0.250
Ag 0.000 0.000 0.000

Density functional theory data (GGA-PBEsol) for crystalline HfZn3Cd at its relaxed geometry.

The value obtained for the calculated volume is 133 Å³/cell. The formation enthalpy at 0 K is 1.07 eV per atom. As for the density of states at the Fermi level: 6.26 states/eV per cell. The value obtained for the total energy is -2.219 eV/atom. As for the symmetry: Pm-3m, No. 221.

a = 5.098 Å, b = 5.098 Å, c = 5.098 Å
α = 90.00°, β = 90.00°, γ = 90.00°
Atoms (fractional coordinates):
Zn 0.000 0.000 0.500
Zn 0.000 0.500 0.000
Zn 0.500 0.000 0.000
Cd 0.500 0.500 0.500
Hf 0.000 0.000 0.000

Density functional theory data (GGA-PBEsol) for crystalline CoNi at its relaxed geometry.

The value obtained for the calculated volume is 41 Å³/cell. The formation enthalpy at 0 K is 0.00 eV per atom. As for the density of states at the Fermi level: 4.58 states/eV per cell. The value obtained for the total energy is -6.950 eV/atom. As for the symmetry: P4/nmm, No. 129.

a = 2.440 Å, b = 2.440 Å, c = 6.948 Å
α = 90.00°, β = 90.00°, γ = 90.00°
Atoms (fractional coordinates):
Co 0.500 0.000 0.124
Co 0.000 0.500 0.876
Ni 0.000 0.500 0.373
Ni 0.500 0.000 0.627

Density functional theory data (GGA-PBEsol) for crystalline MnTlNi2 at its relaxed geometry.

The value obtained for the calculated volume is 59 Å³/cell. The formation enthalpy at 0 K is 0.53 eV per atom. As for the density of states at the Fermi level: 2.45 states/eV per cell. The value obtained for the total energy is -5.648 eV/atom. As for the symmetry: R3m, No. 160.

a = 2.964 Å, b = 2.964 Å, c = 7.981 Å
α = 79.30°, β = 79.30°, γ = 60.00°
Atoms (fractional coordinates):
Mn 0.262 0.262 0.213
Tl 0.496 0.496 0.513
Ni 0.741 0.741 0.776
Ni 0.001 0.001 0.998

Density functional theory data (GGA-PBEsol) for crystalline CaTeO3 at its relaxed geometry.

The formation energy from raw total energies is -2000 meV/atom. The value obtained for the calculated volume is 1583 Å³/cell. As for the density of states at the Fermi level: 0.00 states/eV per cell. The value obtained for the total energy is -6.281 eV/atom. As for the symmetry: P4_3, No. 78.

a = 11.000 Å, b = 11.996 Å, c = 11.996 Å
α = 90.00°, β = 90.00°, γ = 90.00°
Atoms (fractional coordinates):
O 0.480 0.676 0.599
O 0.461 0.372 0.856
O 0.317 0.810 0.915
O 0.856 0.778 0.956
O 0.392 0.493 0.031
O 0.648 0.114 0.276
O 0.642 0.031 0.507
O 0.910 0.399 0.196
O 0.641 0.400 0.221
O 0.142 0.969 0.493
O 0.167 0.288 0.901
O 0.230 0.401 0.676
O 0.817 0.190 0.085
O 0.654 0.252 0.910
O 0.917 0.099 0.288
O 0.096 0.184 0.129
O 0.846 0.871 0.184
O 0.162 0.410 0.244
O 0.448 0.556 0.278
O 0.148 0.886 0.724
O 0.211 0.144 0.372
O 0.912 0.756 0.410
O 0.711 0.856 0.628
O 0.356 0.222 0.044
O 0.198 0.722 0.556
O 0.934 0.679 0.663
O 0.886 0.984 0.510
O 0.346 0.129 0.816
O 0.660 0.804 0.399
O 0.636 0.490 0.984
O 0.136 0.510 0.016
O 0.404 0.090 0.252
O 0.948 0.444 0.722
O 0.410 0.601 0.804
O 0.684 0.337 0.679
O 0.398 0.724 0.114
O 0.386 0.016 0.490
O 0.961 0.628 0.144
O 0.892 0.507 0.969
O 0.667 0.712 0.099
O 0.412 0.244 0.590
O 0.067 0.085 0.810
O 0.141 0.600 0.779
O 0.391 0.779 0.400
O 0.980 0.324 0.401
O 0.417 0.901 0.712
O 0.698 0.278 0.444
O 0.730 0.599 0.324
O 0.434 0.321 0.337
O 0.154 0.748 0.090
O 0.184 0.663 0.321
O 0.160 0.196 0.601
O 0.898 0.276 0.886
O 0.606 0.044 0.778
O 0.596 0.816 0.871
O 0.567 0.915 0.190
O 0.904 0.910 0.748
O 0.106 0.956 0.222
O 0.662 0.590 0.756
O 0.891 0.221 0.600
Ca 0.018 0.135 0.462
Ca 0.767 0.964 0.348
Ca 0.524 0.227 0.754
Ca 0.017 0.837 0.566
Ca 0.517 0.163 0.434
Ca 0.274 0.246 0.227
Ca 0.518 0.865 0.538
Ca 0.537 0.734 0.258
Ca 0.017 0.348 0.036
Ca 0.517 0.652 0.964
Ca 0.024 0.773 0.246
Ca 0.774 0.754 0.773
Ca 0.787 0.258 0.266
Ca 0.268 0.462 0.865
Ca 0.767 0.434 0.837
Ca 0.267 0.036 0.652
Ca 0.037 0.266 0.742
Ca 0.287 0.742 0.734
Ca 0.768 0.538 0.135
Ca 0.267 0.566 0.163
Te 0.545 0.442 0.345
Te 0.245 0.153 0.944
Te 0.791 0.163 0.933
Te 0.762 0.008 0.621
Te 0.541 0.067 0.163
Te 0.512 0.379 0.008
Te 0.495 0.944 0.847
Te 0.262 0.992 0.379
Te 0.012 0.621 0.992
Te 0.264 0.312 0.550
Te 0.795 0.345 0.558
Te 0.745 0.847 0.056
Te 0.041 0.933 0.837
Te 0.045 0.558 0.655
Te 0.014 0.450 0.312
Te 0.514 0.550 0.688
Te 0.995 0.056 0.153
Te 0.291 0.837 0.067
Te 0.764 0.688 0.450
Te 0.295 0.655 0.442

Density functional theory data (GGA-PBEsol) for crystalline LiHo2Ru at its relaxed geometry.

The value obtained for the calculated volume is 79 Å³/cell. The formation enthalpy at 0 K is -0.26 eV per atom. As for the density of states at the Fermi level: 2.27 states/eV per cell. The value obtained for the total energy is -5.773 eV/atom. As for the symmetry: Fm-3m, No. 225.

a = 4.807 Å, b = 4.807 Å, c = 4.807 Å
α = 60.00°, β = 60.00°, γ = 60.00°
Atoms (fractional coordinates):
Ho 0.250 0.250 0.250
Ho 0.750 0.750 0.750
Li 0.500 0.500 0.500
Ru 0.000 0.000 0.000

Density functional theory data (GGA-PBEsol) for crystalline Li3ScPb at its relaxed geometry.

The value obtained for the calculated volume is 119 Å³/cell. The formation enthalpy at 0 K is 0.29 eV per atom. As for the density of states at the Fermi level: 3.11 states/eV per cell. The value obtained for the total energy is -3.012 eV/atom. As for the symmetry: Pm-3m, No. 221.

a = 4.925 Å, b = 4.925 Å, c = 4.925 Å
α = 90.00°, β = 90.00°, γ = 90.00°
Atoms (fractional coordinates):
Pb 0.000 0.000 0.000
Li 0.500 0.000 0.000
Li 0.000 0.000 0.500
Li 0.000 0.500 0.000
Sc 0.500 0.500 0.500

Density functional theory data (GGA-PBEsol) for crystalline GaSeN2F at its relaxed geometry.

The formation energy from raw total energies is 1149 meV/atom. The value obtained for the calculated volume is 76 Å³/cell. For the distance to the lowest polymorph of the same formula, the calculation gives 41.5 kJ/mol of atoms. As for the density of states at the Fermi level: 3.04 states/eV per cell. The value obtained for the total energy is -4.085 eV/atom. As for the symmetry: P4/mmm, No. 123.

a = 3.713 Å, b = 3.713 Å, c = 5.539 Å
α = 90.00°, β = 90.00°, γ = 90.00°
Atoms (fractional coordinates):
Ga 0.000 0.000 0.000
Se 0.000 0.000 0.500
N 0.000 0.500 0.000
N 0.500 0.000 0.000
F 0.500 0.500 0.500

Density functional theory data (GGA-PBEsol) for crystalline Sm6Co2Si3 at its relaxed geometry.

The formation energy from raw total energies is -465 meV/atom. The value obtained for the calculated volume is 494 Å³/cell. As for the density of states at the Fermi level: 17.86 states/eV per cell. The value obtained for the total energy is -6.216 eV/atom. As for the symmetry: Pm, No. 6.

a = 4.326 Å, b = 11.391 Å, c = 11.476 Å
α = 119.07°, β = 90.00°, γ = 90.00°
Atoms (fractional coordinates):
Sm 0.500 0.247 0.229
Sm 0.500 0.986 0.767
Sm 0.500 0.522 0.136
Sm 0.000 0.487 0.864
Sm 0.000 0.764 0.782
Sm 0.500 0.770 0.021
Sm 0.000 0.227 0.994
Sm 0.500 0.613 0.475
Sm 0.000 0.379 0.511
Sm 0.500 0.867 0.381
Sm 0.000 0.008 0.235
Sm 0.000 0.138 0.624
Co 0.749 0.002 0.005
Co 0.000 0.439 0.272
Co 0.000 0.710 0.147
Co 0.251 0.002 0.005
Si 0.500 0.280 0.843
Si 0.000 0.665 0.326
Si 0.500 0.155 0.440
Si 0.500 0.562 0.714
Si 0.000 0.843 0.563
Si 0.500 0.334 0.666

Density functional theory data (GGA-PBEsol) for crystalline GaSnW3 at its relaxed geometry.

The value obtained for the calculated volume is 95 Å³/cell. The formation enthalpy at 0 K is 1.77 eV per atom. As for the density of states at the Fermi level: 3.38 states/eV per cell. The value obtained for the total energy is -8.038 eV/atom. As for the symmetry: Pm-3m, No. 221.

a = 4.569 Å, b = 4.569 Å, c = 4.569 Å
α = 90.00°, β = 90.00°, γ = 90.00°
Atoms (fractional coordinates):
W 0.000 0.500 0.000
W 0.000 0.000 0.500
W 0.500 0.000 0.000
Sn 0.500 0.500 0.500
Ga 0.000 0.000 0.000

Density functional theory data (GGA-PBEsol) for crystalline HBr3Cl at its relaxed geometry.

The value obtained for the calculated volume is 139 Å³/cell. As for the density of states at the Fermi level: 6.34 states/eV per cell. The value obtained for the total energy is -1.372 eV/atom. As for the symmetry: Pm-3m, No. 221.

a = 5.185 Å, b = 5.185 Å, c = 5.185 Å
α = 90.00°, β = 90.00°, γ = 90.00°
Atoms (fractional coordinates):
H 0.500 0.500 0.500
Br 0.000 0.500 0.000
Br 0.500 0.000 0.000
Br 0.000 0.000 0.500
Cl 0.000 0.000 0.000

Density functional theory data (GGA-PBEsol) for crystalline TlRhBr2 at its relaxed geometry.

The formation energy from raw total energies is -219 meV/atom. The value obtained for the calculated volume is 101 Å³/cell. For the distance to the lowest polymorph of the same formula, the calculation gives 0.0 kJ/mol of atoms. As for the density of states at the Fermi level: 1.29 states/eV per cell. The value obtained for the total energy is -3.846 eV/atom. As for the symmetry: Immm, No. 71.

a = 3.543 Å, b = 5.660 Å, c = 6.050 Å
α = 117.89°, β = 107.03°, γ = 90.00°
Atoms (fractional coordinates):
Tl 0.500 0.000 0.000
Br 0.668 0.668 0.336
Br 0.332 0.332 0.664
Rh 0.000 0.500 0.000

Density functional theory data (GGA-PBEsol) for crystalline K3ZnH5 at its relaxed geometry.

The value obtained for the calculated volume is 294 Å³/cell. As for the density of states at the Fermi level: 0.00 states/eV per cell. The value obtained for the total energy is -2.617 eV/atom. As for the symmetry: I4/mcm, No. 140.

a = 7.327 Å, b = 7.543 Å, c = 7.327 Å
α = 60.95°, β = 90.00°, γ = 119.05°
Atoms (fractional coordinates):
Zn 0.750 0.500 0.750
Zn 0.250 0.500 0.250
H 0.967 0.678 0.533
H 0.533 0.322 0.712
H 0.212 0.678 0.033
H 0.500 0.000 0.500
H 0.000 0.000 0.000
H 0.288 0.322 0.212
H 0.033 0.322 0.467
H 0.467 0.678 0.288
H 0.712 0.678 0.788
H 0.788 0.322 0.967
K 0.250 0.500 0.750
K 0.750 0.500 0.250
K 0.822 0.000 0.322
K 0.178 0.000 0.678
K 0.322 0.000 0.178
K 0.678 0.000 0.822

Density functional theory data (GGA-PBEsol) for crystalline Na2SrGe2 at its relaxed geometry.

The value obtained for the calculated volume is 131 Å³/cell. The formation enthalpy at 0 K is -0.29 eV per atom. As for the density of states at the Fermi level: 1.29 states/eV per cell. The value obtained for the total energy is -3.196 eV/atom. As for the symmetry: I4/mmm, No. 139.

a = 4.491 Å, b = 4.491 Å, c = 7.241 Å
α = 108.07°, β = 108.07°, γ = 90.00°
Atoms (fractional coordinates):
Sr 0.000 0.000 0.000
Na 0.750 0.250 0.500
Na 0.250 0.750 0.500
Ge 0.591 0.591 0.182
Ge 0.409 0.409 0.818

Density functional theory data (GGA-PBEsol) for crystalline La5P12Ru19 at its relaxed geometry.

The value obtained for the calculated volume is 542 Å³/cell. The formation enthalpy at 0 K is -0.85 eV per atom. As for the density of states at the Fermi level: 23.98 states/eV per cell. The value obtained for the total energy is -8.896 eV/atom. As for the symmetry: P-62m, No. 189.

a = 3.974 Å, b = 12.550 Å, c = 12.550 Å
α = 120.00°, β = 90.00°, γ = 90.00°
Atoms (fractional coordinates):
P 0.500 0.305 0.830
P 0.500 0.475 0.170
P 0.500 0.695 0.525
P 0.500 0.525 0.695
P 0.000 0.377 0.377
P 0.000 0.000 0.623
P 0.000 0.188 0.000
P 0.000 0.623 0.000
P 0.000 0.000 0.188
P 0.000 0.812 0.812
P 0.500 0.830 0.305
P 0.500 0.170 0.475
Ru 0.500 0.491 0.367
Ru 0.000 0.000 0.444
Ru 0.000 0.621 0.806
Ru 0.000 0.556 0.556
Ru 0.500 0.509 0.877
Ru 0.500 0.123 0.633
Ru 0.000 0.185 0.379
Ru 0.000 0.194 0.815
Ru 0.000 0.000 0.000
Ru 0.000 0.379 0.185
Ru 0.000 0.444 0.000
Ru 0.500 0.633 0.123
Ru 0.000 0.815 0.194
Ru 0.500 0.000 0.285
Ru 0.500 0.285 0.000
Ru 0.500 0.877 0.509
Ru 0.000 0.806 0.621
Ru 0.500 0.715 0.715
Ru 0.500 0.367 0.491
La 0.000 0.667 0.333
La 0.500 0.184 0.184
La 0.500 0.000 0.816
La 0.500 0.816 0.000
La 0.000 0.333 0.667

Density functional theory data (GGA-PBEsol) for crystalline Sr2CdCuH at its relaxed geometry.

The value obtained for the calculated volume is 126 Å³/cell. As for the density of states at the Fermi level: 4.01 states/eV per cell. The value obtained for the total energy is -2.372 eV/atom. As for the symmetry: P4/mmm, No. 123.

a = 3.605 Å, b = 5.906 Å, c = 5.906 Å
α = 90.00°, β = 90.00°, γ = 90.00°
Atoms (fractional coordinates):
Cd 0.500 0.500 0.500
H 0.500 0.000 0.000
Cu 0.000 0.000 0.000
Sr 0.000 0.000 0.500
Sr 0.000 0.500 0.000

Density functional theory data (GGA-PBEsol) for crystalline CaHgSe2 at its relaxed geometry.

The formation energy from raw total energies is -1037 meV/atom. The value obtained for the calculated volume is 97 Å³/cell. As for the density of states at the Fermi level: 1.32 states/eV per cell. The value obtained for the total energy is -3.638 eV/atom. As for the symmetry: P4/mmm, No. 123.

a = 4.078 Å, b = 4.078 Å, c = 5.821 Å
α = 90.00°, β = 90.00°, γ = 90.00°
Atoms (fractional coordinates):
Se 0.375 0.000 0.500
Se 0.875 0.500 0.000
Ca 0.375 0.000 0.000
Hg 0.875 0.500 0.500